# 1
# Hf2OsF2 GGA-PBE optimized geometry
data_Hf2OsF2
_chemical_formula_sum 'Hf2 Os1 F2'
_cell_length_a 7.0035
_cell_length_b 7.0035
_cell_length_c 7.0035
_cell_angle_alpha 153.16
_cell_angle_beta 153.16
_cell_angle_gamma 38.32
_symmetry_space_group_name_H-M 'P 1'
_symmetry_Int_Tables_number 1
loop_
_symmetry_equiv_pos_as_xyz
'x,y,z'
loop_
_atom_site_label
_atom_site_fract_x
_atom_site_fract_y
_atom_site_fract_z
_atom_site_occupancy
Hf1 0.1259 0.1259 0.0000 1
Hf2 0.8741 0.8741 0.0000 1
Os1 0.5000 0.5000 0.0000 1
F1 0.2500 0.7500 0.5000 1
F2 0.7500 0.2500 0.5000 1
# Energy relative to the elements, uncorrected (eV per atom): -2.02
# E (eV per atom): -9.00
# Calculated volume (Å³/f.u.): 69.9
# Mass density (g/cm³): 13.90
# Space-group type: I4/mmm
# DOS at the Fermi energy (states/eV per cell): 1.3

---

# 2
# Hf3OsF GGA-PBE optimized geometry
data_Hf3OsF
_chemical_formula_sum 'Hf3 Os1 F1'
_cell_length_a 4.4095
_cell_length_b 4.4095
_cell_length_c 4.4095
_cell_angle_alpha 90.00
_cell_angle_beta 90.00
_cell_angle_gamma 90.00
_symmetry_space_group_name_H-M 'P 1'
_symmetry_Int_Tables_number 1
loop_
_symmetry_equiv_pos_as_xyz
'x,y,z'
loop_
_atom_site_label
_atom_site_fract_x
_atom_site_fract_y
_atom_site_fract_z
_atom_site_occupancy
Hf1 0.0000 0.0000 0.5000 1
Hf2 0.0000 0.5000 0.0000 1
Hf3 0.5000 0.0000 0.0000 1
Os1 0.5000 0.5000 0.5000 1
F1 0.0000 0.0000 0.0000 1
# Energy relative to the elements, uncorrected (eV per atom): -0.40
# E (eV per atom): -8.99
# E above lowest polymorph (kJ/mol of formula units): 0
# Calculated volume (Å³/f.u.): 85.7
# Mass density (g/cm³): 14.42
# Space-group type: Pm-3m
# DOS at the Fermi energy (states/eV per cell): 3.4

---

# 3
# Hf2OsF GGA-PBE optimized geometry
data_Hf2OsF
_chemical_formula_sum 'Hf4 Os2 F2'
_cell_length_a 6.8985
_cell_length_b 6.8985
_cell_length_c 6.8985
_cell_angle_alpha 134.59
_cell_angle_beta 134.59
_cell_angle_gamma 66.17
_symmetry_space_group_name_H-M 'P 1'
_symmetry_Int_Tables_number 1
loop_
_symmetry_equiv_pos_as_xyz
'x,y,z'
loop_
_atom_site_label
_atom_site_fract_x
_atom_site_fract_y
_atom_site_fract_z
_atom_site_occupancy
Hf1 0.0733 0.6250 0.9483 1
Hf2 0.3750 0.3233 0.4483 1
Hf3 0.6767 0.1250 0.0517 1
Hf4 0.8750 0.9267 0.5517 1
Os1 0.2500 0.7500 0.5000 1
Os2 0.5000 0.5000 0.0000 1
F1 0.0000 0.0000 0.0000 1
F2 0.7500 0.2500 0.5000 1
# Energy relative to the elements, uncorrected (eV per atom): -0.49
# E (eV per atom): -8.75
# E above lowest polymorph (kJ/mol of formula units): 109
# Calculated volume (Å³/f.u.): 82.0
# Mass density (g/cm³): 11.47
# Space-group type: I-42d
# DOS at the Fermi energy (states/eV per cell): 5.9

---

# 4
# HfOsRuF2 GGA-PBE optimized geometry
data_HfOsRuF2
_chemical_formula_sum 'Hf1 Os1 Ru1 F2'
_cell_length_a 3.9250
_cell_length_b 3.9250
_cell_length_c 5.6134
_cell_angle_alpha 90.00
_cell_angle_beta 90.00
_cell_angle_gamma 90.00
_symmetry_space_group_name_H-M 'P 1'
_symmetry_Int_Tables_number 1
loop_
_symmetry_equiv_pos_as_xyz
'x,y,z'
loop_
_atom_site_label
_atom_site_fract_x
_atom_site_fract_y
_atom_site_fract_z
_atom_site_occupancy
Hf1 0.0000 0.0000 0.0000 1
Os1 0.0000 0.0000 0.5000 1
Ru1 0.5000 0.5000 0.0000 1
F1 0.0000 0.5000 0.5000 1
F2 0.5000 0.0000 0.5000 1
# Energy relative to the elements, uncorrected (eV per atom): 0.12
# E (eV per atom): -6.72
# Calculated volume (Å³/f.u.): 86.5
# Mass density (g/cm³): 9.75
# Space-group type: P4/mmm
# DOS at the Fermi energy (states/eV per cell): 3.8

---

# 5
# HfPF2 GGA-PBE optimized geometry
data_HfPF2
_chemical_formula_sum 'Hf1 P1 F2'
_cell_length_a 5.3158
_cell_length_b 5.3158
_cell_length_c 5.3158
_cell_angle_alpha 40.67
_cell_angle_beta 40.67
_cell_angle_gamma 40.67
_symmetry_space_group_name_H-M 'P 1'
_symmetry_Int_Tables_number 1
loop_
_symmetry_equiv_pos_as_xyz
'x,y,z'
loop_
_atom_site_label
_atom_site_fract_x
_atom_site_fract_y
_atom_site_fract_z
_atom_site_occupancy
Hf1 0.0000 0.0000 0.0000 1
P1 0.5000 0.5000 0.5000 1
F1 0.3014 0.3014 0.3014 1
F2 0.6986 0.6986 0.6986 1
# Energy relative to the elements, uncorrected (eV per atom): -1.71
# E (eV per atom): -6.49
# E above lowest polymorph (kJ/mol of formula units): 57
# Calculated volume (Å³/f.u.): 57.6
# Mass density (g/cm³): 7.14
# Space-group type: R-3m
# DOS at the Fermi energy (states/eV per cell): 1.8

---

# 6
# HfPF GGA-PBE optimized geometry
data_HfPF
_chemical_formula_sum 'Hf4 P4 F4'
_cell_length_a 7.3795
_cell_length_b 7.3795
_cell_length_c 3.8117
_cell_angle_alpha 90.00
_cell_angle_beta 90.00
_cell_angle_gamma 90.00
_symmetry_space_group_name_H-M 'P 1'
_symmetry_Int_Tables_number 1
loop_
_symmetry_equiv_pos_as_xyz
'x,y,z'
loop_
_atom_site_label
_atom_site_fract_x
_atom_site_fract_y
_atom_site_fract_z
_atom_site_occupancy
Hf1 0.1424 0.7111 0.0000 1
Hf2 0.2889 0.1424 0.5000 1
Hf3 0.7111 0.8576 0.5000 1
Hf4 0.8576 0.2889 0.0000 1
P1 0.2235 0.3856 0.0000 1
P2 0.3856 0.7765 0.5000 1
P3 0.6144 0.2235 0.5000 1
P4 0.7765 0.6144 0.0000 1
F1 0.0136 0.8190 0.5000 1
F2 0.1810 0.0136 0.0000 1
F3 0.8190 0.9864 0.0000 1
F4 0.9864 0.1810 0.5000 1
# Energy relative to the elements, uncorrected (eV per atom): -1.80
# E (eV per atom): -7.55
# Calculated volume (Å³/f.u.): 51.9
# Mass density (g/cm³): 7.31
# Space-group type: P4_2/m

---

# 7
# HfPF2 GGA-PBE optimized geometry
data_HfPF2
_chemical_formula_sum 'Hf1 P1 F2'
_cell_length_a 4.1813
_cell_length_b 4.1813
_cell_length_c 4.1813
_cell_angle_alpha 60.00
_cell_angle_beta 60.00
_cell_angle_gamma 60.00
_symmetry_space_group_name_H-M 'P 1'
_symmetry_Int_Tables_number 1
loop_
_symmetry_equiv_pos_as_xyz
'x,y,z'
loop_
_atom_site_label
_atom_site_fract_x
_atom_site_fract_y
_atom_site_fract_z
_atom_site_occupancy
Hf1 0.0000 0.0000 0.0000 1
P1 0.5000 0.5000 0.5000 1
F1 0.2500 0.2500 0.2500 1
F2 0.7500 0.7500 0.7500 1
# Energy relative to the elements, uncorrected (eV per atom): -1.23
# E (eV per atom): -6.01
# E above lowest polymorph (kJ/mol of formula units): 240
# Calculated volume (Å³/f.u.): 51.7
# Mass density (g/cm³): 7.95
# Space-group type: Fm-3m
# DOS at the Fermi energy (states/eV per cell): 2.4

---

# 8
# Hf2PF GGA-PBE optimized geometry
data_Hf2PF
_chemical_formula_sum 'Hf2 P1 F1'
_cell_length_a 4.4339
_cell_length_b 4.4339
_cell_length_c 4.4339
_cell_angle_alpha 60.00
_cell_angle_beta 60.00
_cell_angle_gamma 60.00
_symmetry_space_group_name_H-M 'P 1'
_symmetry_Int_Tables_number 1
loop_
_symmetry_equiv_pos_as_xyz
'x,y,z'
loop_
_atom_site_label
_atom_site_fract_x
_atom_site_fract_y
_atom_site_fract_z
_atom_site_occupancy
Hf1 0.2500 0.2500 0.2500 1
Hf2 0.7500 0.7500 0.7500 1
P1 0.0000 0.0000 0.0000 1
F1 0.5000 0.5000 0.5000 1
# Energy relative to the elements, uncorrected (eV per atom): -1.17
# E (eV per atom): -7.97
# E above lowest polymorph (kJ/mol of formula units): 0
# Calculated volume (Å³/f.u.): 61.6
# Mass density (g/cm³): 10.96
# Space-group type: Fm-3m
# DOS at the Fermi energy (states/eV per cell): 4.0